1.
RbHg12Pb6: relaxed, PBE-GGA.

It has space group R-3 (No. 148, hexagonal axes), with a = 14.9574 Å, b = 14.9574 Å, c = 8.6148 Å, α = 90.00°, β = 90.00° and γ = 120.00°. The inequivalent atoms are Rb at (0.0000, 0.0000, 0.0000), Hg at (0.0170, 0.1433, 0.6527), Hg at (0.0542, 0.5673, 0.6805) and Pb at (0.0336, 0.2690, 0.2959).

As for the raw total energy: -27.149 eV/f.u. For the energy of formation, the calculation gives -30 kJ/mol of formula units. As for the mass density: 11.15 g/cm³.

2.
BiSbI2O: relaxed, PBE-GGA.

It has space group P4/mmm (No. 123), with a = 6.215 Å, b = 6.215 Å, c = 4.066 Å, α = 90.00°, β = 90.00° and γ = 90.00°. The inequivalent atoms are Bi at (0.000, 0.000, 0.000), Sb at (0.500, 0.500, 0.500), I at (0.000, 0.500, 0.500) and O at (0.500, 0.500, 0.000).

As for the raw total energy: -16.633 eV/f.u. As for the mass density: 6.35 g/cm³. As for the formation energy from raw total energies: -114 meV per atom. The calculation puts the distance to the lowest polymorph of the same formula at 0.000 eV/atom.

3.
TaTl2N: relaxed, PBE-GGA.

It has space group I-42d (No. 122), with a = 7.203 Å, b = 7.203 Å, c = 5.825 Å, α = 90.00°, β = 90.00° and γ = 90.00°. The inequivalent atoms are Ta at (0.000, 0.000, 0.000), Tl at (0.191, 0.250, 0.625) and N at (0.000, 0.000, 0.500).

As for the raw total energy: -19.766 eV/f.u. As for the mass density: 13.27 g/cm³. As for the formation energy from raw total energies: 1286 meV per atom. The calculation puts the distance to the lowest polymorph of the same formula at 0.000 eV/atom.

Question: Among the records above, which one has the highest mass density?
Answer: TaTl2N